# HoPuTcPd PBE relaxed
data_HoPuTcPd
_cell_length_a 6.872
_cell_length_b 6.872
_cell_length_c 6.872
_cell_angle_alpha 90.00
_cell_angle_beta 90.00
_cell_angle_gamma 90.00
_symmetry_space_group_name_H-M 'F -4 3 m'
_symmetry_Int_Tables_number 216
_symmetry_space_group_name_Hall 'F -4 2 3'
loop_
_atom_site_label
_atom_site_type_symbol
_atom_site_fract_x
_atom_site_fract_y
_atom_site_fract_z
_atom_site_occupancy
Ho1 Ho 0.000 0.000 0.000 1
Pu1 Pu 0.000 0.000 0.500 1
Tc1 Tc 0.250 0.250 0.250 1
Pd1 Pd 0.250 0.250 0.750 1
# DFT total energy: -8.86 eV per atom
# Formation enthalpy at 0 K: -248 meV per atom